[1]
Material: Ni2SbAs
Method: DFT, PBE-GGA
State: optimized geometry

Formation energy without anion corrections   0.05 eV per atom
Calculated volume   63 Å³/cell
Spin magnetization   0.000 μB per atom

```
data_Ni2SbAs
_chemical_formula_sum 'Ni2 Sb1 As1'
_cell_length_a 3.1041
_cell_length_b 3.1041
_cell_length_c 6.5519
_cell_angle_alpha 90.00
_cell_angle_beta 90.00
_cell_angle_gamma 90.00
_space_group_name_H-M_alt 'P 4/m m m'
_space_group_IT_number 123
_space_group_name_Hall '-P 4 2'
loop_
_atom_site_label
_atom_site_fract_x
_atom_site_fract_y
_atom_site_fract_z
Ni1 0.0000 0.0000 0.2019
Sb1 0.5000 0.5000 0.5000
As1 0.5000 0.5000 0.0000
```



[2]
Material: SrCdSeBr2
Method: DFT, PBE-GGA
State: optimized geometry

Formation energy without anion corrections   -0.69 eV per atom
Offset from the most stable computed form   8.33 kcal/mol of atoms
Calculated volume   212 Å³/cell
Spin magnetization   0.195 μB per atom

```
data_SrCdSeBr2
_chemical_formula_sum 'Sr1 Cd1 Se1 Br2'
_cell_length_a 5.8450
_cell_length_b 5.8450
_cell_length_c 6.1974
_cell_angle_alpha 90.00
_cell_angle_beta 90.00
_cell_angle_gamma 90.00
_space_group_name_H-M_alt 'P 4/m m m'
_space_group_IT_number 123
_space_group_name_Hall '-P 4 2'
loop_
_atom_site_label
_atom_site_fract_x
_atom_site_fract_y
_atom_site_fract_z
Sr1 0.0000 0.0000 0.0000
Cd1 0.5000 0.5000 0.5000
Se1 0.0000 0.0000 0.5000
Br1 0.0000 0.5000 0.0000
```



[3]
Material: PuNi3H
Method: DFT, PBE-GGA
State: optimized geometry

Calculated volume   60 Å³/cell
Spin magnetization   1.019 μB per atom
Total energy   -34.99 eV/f.u.

```
data_PuNi3H
_chemical_formula_sum 'Pu1 Ni3 H1'
_cell_length_a 3.9127
_cell_length_b 3.9127
_cell_length_c 3.9127
_cell_angle_alpha 90.00
_cell_angle_beta 90.00
_cell_angle_gamma 90.00
_space_group_name_H-M_alt 'P m -3 m'
_space_group_IT_number 221
_space_group_name_Hall '-P 4 2 3'
loop_
_atom_site_label
_atom_site_fract_x
_atom_site_fract_y
_atom_site_fract_z
Pu1 0.0000 0.0000 0.0000
Ni1 0.0000 0.5000 0.5000
H1 0.5000 0.5000 0.5000
```



[4]
Material: BaCo2Te
Method: DFT, PBE-GGA
State: optimized geometry

Formation energy without anion corrections   0.01 eV per atom
Calculated volume   107 Å³/cell
Spin magnetization   0.637 μB per atom

```
data_BaCo2Te
_chemical_formula_sum 'Ba1 Co2 Te1'
_cell_length_a 4.3239
_cell_length_b 4.8855
_cell_length_c 5.0803
_cell_angle_alpha 90.00
_cell_angle_beta 90.00
_cell_angle_gamma 90.00
_space_group_name_H-M_alt 'P m m m'
_space_group_IT_number 47
loop_
_space_group_symop_operation_xyz
'x,y,z'
'-x,-y,-z'
'-x,-y,z'
'x,y,-z'
'x,-y,-z'
'-x,y,z'
'-x,y,-z'
'x,-y,z'
loop_
_atom_site_label
_atom_site_fract_x
_atom_site_fract_y
_atom_site_fract_z
Ba1 0.0000 0.0000 0.0000
Co1 0.5000 0.2267 0.5000
Te1 0.0000 0.5000 0.5000
```